A relaxed structure of Cs2LiPrF6, computed with GGA-PBEsol.

Cell lengths 6.278, 6.278, 6.278 Å; angles 60.00, 60.00, 60.00 degrees
Positions (direct):
Cs (0.750, 0.750, 0.750)
Cs (0.250, 0.250, 0.250)
Li (0.500, 0.500, 0.500)
Pr (0.000, 0.000, 0.000)
F (0.742, 0.258, 0.258)
F (0.742, 0.742, 0.258)
F (0.258, 0.742, 0.742)
F (0.742, 0.258, 0.742)
F (0.258, 0.742, 0.258)
F (0.258, 0.258, 0.742)

Computed properties:
* mass density: 5.008 Mg/m³
* total energy: -5.34 eV/atom
* D(E_F): 0.0 states/eV per cell
* E_form (uncorrected): -3279 meV/atom


A relaxed structure of Mn2Ir, computed with GGA-PBEsol.

Cell lengths 2.596, 4.792, 6.011 Å; angles 102.87, 90.00, 105.71 degrees
Positions (direct):
Ir (0.996, 0.991, 0.993)
Ir (0.672, 0.345, 0.342)
Mn (0.391, 0.783, 0.285)
Mn (0.054, 0.108, 0.612)
Mn (0.333, 0.665, 0.667)
Mn (0.720, 0.441, 0.934)

Computed properties:
* mass density: 14.326 Mg/m³
* energy of formation: -0.107 eV/atom
* total energy: -9.89 eV/atom
* D(E_F): 6.3 states/eV per cell


A relaxed structure of RbFeB2C, computed with GGA-PBEsol.

Cell lengths 4.279, 4.443, 4.443 Å; angles 90.00, 90.00, 90.00 degrees
Positions (direct):
C (0.500, 0.000, 0.000)
B (0.000, 0.000, 0.500)
B (0.000, 0.500, 0.000)
Fe (0.500, 0.500, 0.500)
Rb (0.000, 0.000, 0.000)

Computed properties:
* mass density: 3.438 Mg/m³
* energy of formation: 4.025 eV/atom
* total energy: -2.71 eV/atom
* D(E_F): 4.6 states/eV per cell


A relaxed structure of MnTeOs2, computed with GGA-PBEsol.

Cell lengths 2.942, 2.942, 7.177 Å; angles 90.00, 90.00, 90.00 degrees
Positions (direct):
Mn (0.500, 0.500, 0.762)
Os (0.000, 0.000, 0.001)
Os (0.500, 0.500, 0.227)
Te (0.000, 0.000, 0.509)

Computed properties:
* mass density: 15.050 Mg/m³
* total energy: -8.82 eV/atom
* D(E_F): 2.6 states/eV per cell
* E_form (uncorrected): 608 meV/atom


A relaxed structure of TaNiTe5, computed with GGA-PBEsol.

Cell lengths 3.644, 6.784, 15.109 Å; angles 90.00, 90.00, 105.58 degrees
Positions (direct):
Ta (0.510, 0.020, 0.250)
Ta (0.490, 0.980, 0.750)
Ni (0.000, 0.000, 0.000)
Ni (0.000, 0.000, 0.500)
Te (0.396, 0.791, 0.924)
Te (0.103, 0.206, 0.856)
Te (0.604, 0.209, 0.076)
Te (0.604, 0.209, 0.424)
Te (0.396, 0.791, 0.576)
Te (0.173, 0.347, 0.250)
Te (0.897, 0.794, 0.356)
Te (0.827, 0.653, 0.750)
Te (0.103, 0.206, 0.644)
Te (0.897, 0.794, 0.144)

Computed properties:
* mass density: 8.101 Mg/m³
* total energy: -5.50 eV/atom
* D(E_F): 4.0 states/eV per cell
* E_form (uncorrected): -311 meV/atom


A relaxed structure of YFeS2N, computed with GGA-PBEsol.

Cell lengths 3.456, 4.629, 4.629 Å; angles 90.00, 90.00, 90.00 degrees
Positions (direct):
Y (0.500, 0.500, 0.500)
S (0.000, 0.000, 0.500)
S (0.000, 0.500, 0.000)
Fe (0.000, 0.000, 0.000)
N (0.500, 0.000, 0.000)

Computed properties:
* mass density: 4.998 Mg/m³
* total energy: -7.44 eV/atom
* D(E_F): 2.7 states/eV per cell
* E_form (uncorrected): -822 meV/atom


A relaxed structure of EuTcO3, computed with GGA-PBEsol.

Cell lengths 3.902, 3.902, 3.902 Å; angles 90.00, 90.00, 90.00 degrees
Positions (direct):
Eu (0.000, 0.000, 0.000)
Tc (0.500, 0.500, 0.500)
O (0.500, 0.000, 0.500)
O (0.500, 0.500, 0.000)
O (0.000, 0.500, 0.500)

Computed properties:
* mass density: 8.325 Mg/m³
* total energy: -9.65 eV/atom
* D(E_F): 8.9 states/eV per cell
* E_form (uncorrected): -2132 meV/atom


A relaxed structure of Ba2AlHg, computed with GGA-PBEsol.

Cell lengths 4.077, 4.077, 8.186 Å; angles 90.00, 90.00, 90.00 degrees
Positions (direct):
Al (0.500, 0.500, 0.500)
Hg (0.500, 0.500, 0.000)
Ba (0.000, 0.000, 0.747)
Ba (0.000, 0.000, 0.253)

Computed properties:
* mass density: 6.130 Mg/m³
* E above lowest polymorph: 4 meV/atom
* energy of formation: -0.292 eV/atom
* total energy: -2.53 eV/atom
* D(E_F): 2.6 states/eV per cell


Q: Look up the mass density of the fourth one.
A: 15.050 Mg/m³


Q: Among the records above, which one has the highest total energy?
A: Ba2AlHg


Q: Which formula does entry 8 have?
A: Ba2AlHg


Q: Number 8 is which compound?
A: Ba2AlHg